The following is a PBE-GGA calculation of Os2O3F7 after structural relaxation, from OQMD via LeMat-Bulk.

The value obtained for the calculated total energy is -5.606 eV/atom.

It has space group P2_1/c (No. 14), with a = 5.159 Å, b = 9.493 Å, c = 11.696 Å, α = 90.00°, β = 98.45° and γ = 90.00°. The inequivalent atoms are Os at (0.005, 0.244, 0.000), Os at (0.359, 0.509, 0.224), O at (0.412, 0.078, 0.853), O at (0.435, 0.576, 0.854), O at (0.492, 0.167, 0.247), F at (0.013, 0.569, 0.235), F at (0.094, 0.166, 0.652), F at (0.095, 0.666, 0.647), F at (0.199, 0.086, 0.054), F at (0.200, 0.586, 0.050), F at (0.293, 0.669, 0.447) and F at (0.300, 0.172, 0.450).

---

The following is a PBE-GGA calculation of TaAgSb after structural relaxation, from OQMD via LeMat-Bulk.

The value obtained for the calculated total energy is -5.568 eV/atom.

It has space group F-43m (No. 216), with a = 6.479 Å, b = 6.479 Å, c = 6.479 Å, α = 90.00°, β = 90.00° and γ = 90.00°. The inequivalent atoms are Ta at (0.000, 0.000, 0.000), Ag at (0.000, 0.000, 0.500) and Sb at (0.250, 0.250, 0.750).

---

The following is a PBE-GGA calculation of Li6CdPd after structural relaxation, from OQMD via LeMat-Bulk.

The value obtained for the calculated total energy is -2.415 eV/atom.

It has space group P4/mmm (No. 123), with a = 4.407 Å, b = 4.407 Å, c = 6.281 Å, α = 90.00°, β = 90.00° and γ = 90.00°. The inequivalent atoms are Li at (0.000, 0.000, 0.000), Li at (0.000, 0.500, 0.232), Li at (0.500, 0.500, 0.500), Cd at (0.000, 0.000, 0.500) and Pd at (0.500, 0.500, 0.000).

---

The following is a PBE-GGA calculation of PtPbO3 after structural relaxation, from OQMD via LeMat-Bulk.

The value obtained for the calculated total energy is -5.289 eV/atom.

It has space group R-3c (No. 167, hexagonal axes), with a = 6.1722 Å, b = 6.1722 Å, c = 14.0616 Å, α = 90.00°, β = 90.00° and γ = 120.00°. The inequivalent atoms are Pt at (0.0000, 0.0000, 0.2500), Pb at (0.0000, 0.0000, 0.0000) and O at (0.0000, 0.3020, 0.2500).

---

The following is a PBE-GGA calculation of K6Al2Pt after structural relaxation, from OQMD via LeMat-Bulk.

The value obtained for the calculated total energy is -1.981 eV/atom.

It has space group P-62m (No. 189), with a = 9.4294 Å, b = 9.4294 Å, c = 4.7897 Å, α = 90.00°, β = 90.00° and γ = 120.00°. The inequivalent atoms are K at (0.0000, 0.2387, 0.0000), K at (0.0000, 0.6156, 0.5000), Al at (0.3333, 0.6667, 0.0000) and Pt at (0.0000, 0.0000, 0.5000).

---

The following is a PBE-GGA calculation of InPd after structural relaxation, from OQMD via LeMat-Bulk.

The value obtained for the calculated total energy is -4.364 eV/atom.

It has space group P-6m2 (No. 187), with a = 3.1965 Å, b = 3.1965 Å, c = 4.2121 Å, α = 90.00°, β = 90.00° and γ = 120.00°. The inequivalent atoms are In at (0.0000, 0.0000, 0.0000) and Pd at (0.6667, 0.3333, 0.5000).